No. 1
Here is a relaxed structure of ErTmGaRh from Alexandria via LeMat-Bulk. Energies are from PBE-GGA.

Its formation energy is -761.9 meV per atom. Its energy above the lowest structure with this stoichiometry is 0.000 eV per atom.

The structure belongs to space group Amm2 (No. 38); the cell edges are 4.317, 3.817 and 10.572 Å and the angles 90.00°, 90.00° and 90.00°. The asymmetric unit holds Er at (0.000, 0.000, 0.000), Tm at (0.500, 0.000, 0.717), Ga at (0.000, 0.000, 0.285) and Rh at (0.500, 0.000, 0.433).



No. 2
Here is a relaxed structure of BaNpRh2 from Alexandria via LeMat-Bulk. Energies are from PBE-GGA.

Its formation energy is -180.4 meV per atom. Its energy above the lowest structure with this stoichiometry is 0.087 eV per atom.

The structure belongs to space group P4/mmm (No. 123); the cell edges are 3.460, 3.460 and 7.813 Å and the angles 90.00°, 90.00° and 90.00°. The asymmetric unit holds Ba at (0.000, 0.000, 0.000), Np at (0.000, 0.000, 0.500) and Rh at (0.500, 0.500, 0.314).



No. 3
Here is a relaxed structure of LiCaYSi from Alexandria via LeMat-Bulk. Energies are from PBE-GGA.

Its raw total energy is -4.252 eV per atom.

The structure belongs to space group F-43m (No. 216); the cell edges are 7.142, 7.142 and 7.142 Å and the angles 90.00°, 90.00° and 90.00°. The asymmetric unit holds Li at (0.000, 0.000, 0.000), Ca at (0.250, 0.250, 0.750), Y at (0.250, 0.250, 0.250) and Si at (0.000, 0.000, 0.500).



No. 4
Here is a relaxed structure of Cs4La3SnSe8 from Alexandria via LeMat-Bulk. Energies are from PBE-GGA.

Its raw total energy is -4.650 eV per atom.

The structure belongs to space group R-3m (No. 166, hexagonal axes); the cell edges are 8.9142, 8.9142 and 25.1353 Å and the angles 90.00°, 90.00° and 120.00°. The asymmetric unit holds Cs at (0.0000, 0.0000, 0.0000), Cs at (0.0000, 0.5000, 0.0000), La at (0.0000, 0.5000, 0.5000), Sn at (0.0000, 0.0000, 0.5000), Se at (0.0000, 0.0000, 0.2307) and Se at (0.0082, 0.5041, 0.2294).



Number 1: density of states at the Fermi level 5.17 states/eV/cell. Number 2: density of states at the Fermi level 7.93 states/eV/cell. Number 3: density of states at the Fermi level 10.35 states/eV/cell. Number 4: density of states at the Fermi level 7.68 states/eV/cell.